First-principles (meta-GGA SCAN) data for Y3ZnCo at its PBEsol-relaxed geometry, as listed in Alexandria via LeMat-Bulk.

Calculated values
theoretical density: 4.52 g cm⁻³
D(E_F): 6.17 states/eV/f.u.
E: -111.69 eV per formula unit

Cell: 5.239 5.239 5.239 Å, 90.00 90.00 90.00°
Fractional coordinates of all 5 atoms:
Y 0.000 0.000 0.500
Y 0.000 0.500 0.000
Y 0.500 0.000 0.000
Zn 0.000 0.000 0.000
Co 0.500 0.500 0.500

=====

First-principles (meta-GGA SCAN) data for YZnCo2 at its PBEsol-relaxed geometry, as listed in Alexandria via LeMat-Bulk.

Calculated values
theoretical density: 6.95 g cm⁻³
D(E_F): 1.82 states/eV/f.u.
E: -76.68 eV per formula unit

Cell: 5.283 5.283 5.283 Å, 44.17 44.17 44.17°
Fractional coordinates of all 4 atoms:
Y 0.000 0.000 0.000
Zn 0.800 0.800 0.800
Co 0.202 0.202 0.202
Co 0.531 0.531 0.531